FePb2Se2O6: relaxed, GGA+U.

Output
The magnetic moment is 4.0 μB per formula unit. The calculation puts the final energy at -5.4037 eV/atom.

a b c (Å): 5.4238 7.2067 7.5911
angles (deg): 131.00 90.00 112.10
Positions (direct):
O (0.2528, 0.0026, 0.2511)
O (0.7472, 0.9974, 0.7489)
O (0.7497, 0.0026, 0.2511)
O (0.2503, 0.9974, 0.7489)
O (0.2923, 0.5846, 0.1924)
O (0.7077, 0.4154, 0.8076)
Pb (0.2825, 0.5650, 0.8938)
Pb (0.7175, 0.4350, 0.1062)
Se (0.0768, 0.1536, 0.2452)
Se (0.9232, 0.8464, 0.7548)
Fe (0.5000, 0.0000, 0.5000)